No. 1
Entry from Alexandria via LeMat-Bulk: a relaxed BaSc2CuAs crystal (GGA-PBE).

```
BaSc2CuAs
1.0
-4.678 -1.861 0.671
1.978 -4.277 1.924
-0.140 2.029 4.654
Sc As Ba Cu
2 1 1 1
direct
0.000 0.000 0.500
0.500 0.000 0.000
0.000 0.500 0.000
0.500 0.500 0.500
0.000 0.000 0.000
```

Results
Final energy in eV per atom: -4.595
Energy of formation in eV/atom: 0.072


No. 2
Entry from Alexandria via LeMat-Bulk: a relaxed MnCdRh2N crystal (GGA-PBE).

```
MnCdRh2N
1.0
4.192 0.000 0.000
0.000 4.192 0.000
0.000 0.000 3.917
N Mn Rh Cd
1 1 2 1
direct
0.000 0.000 0.000
0.000 0.000 0.500
0.000 0.500 0.000
0.500 0.000 0.000
0.500 0.500 0.500
```

Results
Final energy in eV per atom: -6.697
Formation energy (no corrections) in meV per atom: -74.8


No. 3
Entry from Alexandria via LeMat-Bulk: a relaxed Dy3TlZn crystal (GGA-PBE).

```
Dy3TlZn
1.0
7.357 0.000 0.000
0.000 7.357 0.000
0.000 0.000 7.357
Dy Tl Zn
9 3 3
direct
0.500 0.500 0.500
0.234 0.234 0.234
0.766 0.766 0.234
0.766 0.234 0.766
0.234 0.766 0.766
0.234 0.234 0.766
0.766 0.766 0.766
0.234 0.766 0.234
0.766 0.234 0.234
0.000 0.500 0.500
0.500 0.000 0.500
0.500 0.500 0.000
0.500 0.000 0.000
0.000 0.500 0.000
0.000 0.000 0.500
```

Results
Final energy in eV per atom: -3.691
Excess energy over the best structure of this formula in the dataset in meV per atom: 41
Energy of formation in eV/atom: -0.202


No. 4
Entry from Alexandria via LeMat-Bulk: a relaxed BiWSeN2 crystal (GGA-PBE).

```
BiWSeN2
1.0
-3.507 1.833 -0.882
0.699 -0.565 -3.953
-2.439 -4.559 0.220
Se Bi W N
1 1 1 2
direct
0.000 0.000 0.500
0.500 0.500 0.500
0.000 0.000 0.000
0.000 0.500 0.000
0.500 0.000 0.000
```

Results
Final energy in eV per atom: -6.963
Formation energy (no corrections) in meV per atom: 431.0
Excess energy over the best structure of this formula in the dataset in meV per atom: 0


No. 5
Entry from Alexandria via LeMat-Bulk: a relaxed As2PPbSe crystal (GGA-PBE).

```
As2PPbSe
1.0
-1.624 3.103 -4.109
-4.169 1.736 2.959
2.969 3.992 1.841
Pb P As Se
1 1 2 1
direct
0.000 0.000 0.000
0.500 0.500 0.500
0.000 0.500 0.000
0.500 0.000 0.000
0.000 0.000 0.500
```

Results
Final energy in eV per atom: -2.964
Formation energy (no corrections) in meV per atom: 1416.4
Excess energy over the best structure of this formula in the dataset in meV per atom: 956


No. 6
Entry from Alexandria via LeMat-Bulk: a relaxed Sc7Co crystal (GGA-PBE).

```
Sc7Co
1.0
0.000 4.453 4.453
4.453 0.000 4.453
4.453 4.453 0.000
Sc Co
7 1
direct
0.500 0.000 0.000
0.000 0.000 0.500
0.500 0.000 0.500
0.000 0.500 0.000
0.500 0.500 0.000
0.000 0.500 0.500
0.500 0.500 0.500
0.000 0.000 0.000
```

Results
Final energy in eV per atom: -6.301
Energy of formation in eV/atom: 0.127


No. 7
Entry from Alexandria via LeMat-Bulk: a relaxed KCaSmSeO6 crystal (GGA-PBE).

```
KCaSmSeO6
1.0
-3.954 -0.037 4.206
-5.573 0.808 -1.271
-3.723 -4.391 0.423
K Ca Sm Se O
1 1 1 1 6
direct
0.750 0.750 0.750
0.250 0.250 0.250
0.500 0.500 0.500
0.000 0.000 0.000
0.223 0.777 0.223
0.777 0.223 0.777
0.223 0.777 0.777
0.777 0.223 0.223
0.223 0.223 0.777
0.777 0.777 0.223
```

Results
Final energy in eV per atom: -6.045
Formation energy (no corrections) in meV per atom: -1939.7


No. 8
Entry from Alexandria via LeMat-Bulk: a relaxed AcLaSnIr crystal (GGA-PBE).

```
AcLaSnIr
1.0
5.442 0.000 0.000
2.721 4.713 0.000
2.721 1.571 4.443
Ac Ir Sn La
1 1 1 1
direct
0.750 0.750 0.750
0.000 0.000 0.000
0.500 0.500 0.500
0.250 0.250 0.250
```

Results
Final energy in eV per atom: -5.916
Energy of formation in eV/atom: -0.441


No. 9
Entry from Alexandria via LeMat-Bulk: a relaxed ZrTe2Os crystal (GGA-PBE).

```
ZrTe2Os
1.0
7.841 -0.025 -0.003
5.807 5.269 0.003
-6.715 -2.905 2.819
Os Te Zr
1 2 1
direct
0.250 0.750 0.500
0.112 0.112 0.000
0.388 0.388 0.000
0.750 0.250 0.500
```

Results
Final energy in eV per atom: -6.817
Formation energy (no corrections) in meV per atom: -302.1
Excess energy over the best structure of this formula in the dataset in meV per atom: 0


No. 10
Entry from Alexandria via LeMat-Bulk: a relaxed Dy6In2N crystal (GGA-PBE).

```
Dy6In2N
1.0
-4.666 4.759 -1.643
-5.380 1.098 4.120
-0.408 5.807 3.638
Dy In N
6 2 1
direct
0.256 0.256 0.744
0.256 0.745 0.255
0.744 0.255 0.745
0.745 0.256 0.255
0.255 0.744 0.745
0.744 0.744 0.256
0.250 0.250 0.250
0.750 0.750 0.750
0.500 0.500 0.500
```

Results
Final energy in eV per atom: -5.237
Formation energy (no corrections) in meV per atom: -635.2


No. 11
Entry from Alexandria via LeMat-Bulk: a relaxed PbC2Br crystal (GGA-PBE).

```
PbC2Br
1.0
-2.674 -2.505 3.467
3.269 -3.834 -0.249
3.630 -0.615 6.025
Pb C Br
2 4 2
direct
0.000 0.000 0.000
0.750 0.250 0.500
0.607 0.125 0.250
0.143 0.625 0.250
0.375 0.393 0.750
0.875 0.857 0.750
0.500 0.500 0.000
0.250 0.750 0.500
```

Results
Final energy in eV per atom: -3.683
Formation energy (no corrections) in meV per atom: 2274.6
Excess energy over the best structure of this formula in the dataset in meV per atom: 0


No. 12
Entry from Alexandria via LeMat-Bulk: a relaxed TaTeAu4 crystal (GGA-PBE).

```
TaTeAu4
1.0
-4.831 -2.703 0.316
-1.774 -1.947 4.879
-4.340 2.363 2.516
Ta Te Au
1 1 4
direct
0.750 0.750 0.750
0.000 0.000 0.000
0.875 0.375 0.375
0.375 0.375 0.875
0.375 0.875 0.375
0.375 0.375 0.375
```

Results
Final energy in eV per atom: -4.246
Formation energy (no corrections) in meV per atom: 437.5